Compound: SmTm2TlC
Source: Alexandria
Functional: PBE
Structure: optimized geometry

## Properties
**SG**: P4/mmm

Structure (POSCAR):
```
SmTm2TlC
1.0
5.051 0.000 0.000
0.000 4.852 0.000
0.000 0.000 4.852
Tm C Sm Tl
2 1 1 1
direct
0.000 0.500 0.000
0.000 0.000 0.500
0.000 0.000 0.000
0.500 0.000 0.000
0.500 0.500 0.500
```

Compound: Mo2IrRu4
Source: Alexandria
Functional: PBE
Structure: optimized geometry

## Properties
**SG**: I4/mcm

Structure (POSCAR):
```
Mo2IrRu4
1.0
6.182 -0.404 -2.552
-3.310 5.608 -1.580
-0.239 0.404 6.684
Ir Mo Ru
2 4 8
direct
0.000 0.750 0.750
0.000 0.250 0.250
0.195 0.847 0.347
0.805 0.153 0.653
0.500 0.347 0.153
0.500 0.653 0.847
0.796 0.813 0.313
0.796 0.483 0.983
0.500 0.017 0.813
0.500 0.313 0.517
0.204 0.187 0.687
0.500 0.687 0.483
0.204 0.517 0.017
0.500 0.983 0.187
```

Summary of M_tot in μB per formula unit
0.0, 0.0
(order as listed above)
Summary of energy of formation from the pure elements in eV/atom
-0.44, 0.48
(order as listed above)